(1)
Below is an optimized crystal structure of Li2AgIrC, with properties calculated at the PBE level.

a = 4.157 Å, b = 4.157 Å, c = 3.871 Å
α = 90.00°, β = 90.00°, γ = 90.00°
Fractional positions:
Li1 0.000 0.500 0.000
Li2 0.500 0.000 0.000
Ag1 0.000 0.000 0.500
Ir1 0.500 0.500 0.500
C1 0.500 0.500 0.000

Output
* final energy: -4.951 eV/atom
* crystal system: tetragonal
* symmetry: No. 123
* D(E_F): 0.372 states/eV/atom

=====

(2)
Below is an optimized crystal structure of Mg2AgIrC, with properties calculated at the PBE level.

a = 4.992 Å, b = 4.992 Å, c = 3.796 Å
α = 90.00°, β = 90.00°, γ = 90.00°
Fractional positions:
Mg1 0.000 0.500 0.000
Mg2 0.500 0.000 0.000
Ag1 0.000 0.000 0.000
Ir1 0.500 0.500 0.500
C1 0.000 0.000 0.500

Output
* final energy: -3.451 eV/atom
* crystal system: tetragonal
* symmetry: No. 123
* D(E_F): 0.727 states/eV/atom

=====

(3)
Below is an optimized crystal structure of Mg2AgIrC, with properties calculated at the PBE level.

a = 4.505 Å, b = 4.505 Å, c = 3.871 Å
α = 90.00°, β = 90.00°, γ = 90.00°
Fractional positions:
Mg1 0.000 0.500 0.000
Mg2 0.500 0.000 0.000
Ag1 0.000 0.000 0.500
Ir1 0.500 0.500 0.500
C1 0.500 0.500 0.000

Output
* final energy: -4.850 eV/atom
* crystal system: tetragonal
* symmetry: No. 123
* D(E_F): 0.489 states/eV/atom

=====

(4)
Below is an optimized crystal structure of Ag2IrCN, with properties calculated at the PBE level.

a = 5.243 Å, b = 5.243 Å, c = 3.630 Å
α = 90.00°, β = 90.00°, γ = 90.00°
Fractional positions:
Ag1 0.000 0.500 0.000
Ag2 0.500 0.000 0.000
Ir1 0.000 0.000 0.000
C1 0.500 0.500 0.500
N1 0.000 0.000 0.500

Output
* final energy: -4.560 eV/atom
* crystal system: tetragonal
* symmetry: No. 123
* D(E_F): 0.509 states/eV/atom
* uncorrected formation energy: 1.86 eV/atom

=====

(5)
Below is an optimized crystal structure of Nd2AgIrC, with properties calculated at the PBE level.

a = 5.276 Å, b = 5.276 Å, c = 3.882 Å
α = 90.00°, β = 90.00°, γ = 90.00°
Fractional positions:
Nd1 0.000 0.500 0.000
Nd2 0.500 0.000 0.000
Ag1 0.000 0.000 0.500
Ir1 0.500 0.500 0.500
C1 0.500 0.500 0.000

Output
* final energy: -6.517 eV/atom
* crystal system: tetragonal
* symmetry: No. 123
* D(E_F): 0.435 states/eV/atom

=====

(6)
Below is an optimized crystal structure of NiAgIrC2, with properties calculated at the PBE level.

a = 3.698 Å, b = 3.698 Å, c = 5.067 Å
α = 90.00°, β = 90.00°, γ = 90.00°
Fractional positions:
Ni1 0.000 0.000 0.000
Ag1 0.500 0.500 0.500
Ir1 0.000 0.000 0.500
C1 0.000 0.500 0.000
C2 0.500 0.000 0.000

Output
* final energy: -5.180 eV/atom
* crystal system: tetragonal
* symmetry: No. 123
* D(E_F): 0.876 states/eV/atom

=====

(7)
Below is an optimized crystal structure of AgIrPdC2, with properties calculated at the PBE level.

a = 3.891 Å, b = 3.891 Å, c = 5.343 Å
α = 90.00°, β = 90.00°, γ = 90.00°
Fractional positions:
Ag1 0.000 0.000 0.000
Ir1 0.000 0.000 0.500
Pd1 0.500 0.500 0.000
C1 0.000 0.500 0.500
C2 0.500 0.000 0.500

Output
* final energy: -5.695 eV/atom
* crystal system: tetragonal
* symmetry: No. 123
* D(E_F): 0.451 states/eV/atom

=====

(8)
Below is an optimized crystal structure of Pm2AgIrC, with properties calculated at the PBE level.

a = 5.223 Å, b = 5.223 Å, c = 3.881 Å
α = 90.00°, β = 90.00°, γ = 90.00°
Fractional positions:
Pm1 0.000 0.500 0.000
Pm2 0.500 0.000 0.000
Ag1 0.000 0.000 0.500
Ir1 0.500 0.500 0.500
C1 0.500 0.500 0.000

Output
* final energy: -6.534 eV/atom
* crystal system: tetragonal
* symmetry: No. 123
* D(E_F): 0.449 states/eV/atom

=====

(9)
Below is an optimized crystal structure of Sc2AgIrC, with properties calculated at the PBE level.

a = 4.629 Å, b = 4.629 Å, c = 3.879 Å
α = 90.00°, β = 90.00°, γ = 90.00°
Fractional positions:
Sc1 0.000 0.500 0.000
Sc2 0.500 0.000 0.000
Ag1 0.000 0.000 0.500
Ir1 0.500 0.500 0.500
C1 0.500 0.500 0.000

Output
* final energy: -7.242 eV/atom
* crystal system: tetragonal
* symmetry: No. 123
* D(E_F): 0.307 states/eV/atom

=====

(10)
Below is an optimized crystal structure of Sc2AgIrC, with properties calculated at the PBE level.

a = 5.157 Å, b = 5.157 Å, c = 3.857 Å
α = 90.00°, β = 90.00°, γ = 90.00°
Fractional positions:
Sc1 0.000 0.500 0.000
Sc2 0.500 0.000 0.000
Ag1 0.000 0.000 0.500
Ir1 0.500 0.500 0.000
C1 0.500 0.500 0.500

Output
* final energy: -6.543 eV/atom
* crystal system: tetragonal
* symmetry: No. 123
* D(E_F): 0.657 states/eV/atom

=====

(11)
Below is an optimized crystal structure of SiAg2IrC, with properties calculated at the PBE level.

a = 4.372 Å, b = 4.372 Å, c = 3.784 Å
α = 90.00°, β = 90.00°, γ = 90.00°
Fractional positions:
Si1 0.000 0.000 0.000
Ag1 0.000 0.500 0.500
Ag2 0.500 0.000 0.500
Ir1 0.500 0.500 0.000
C1 0.000 0.000 0.500

Output
* final energy: -4.791 eV/atom
* crystal system: tetragonal
* symmetry: No. 123
* D(E_F): 0.757 states/eV/atom
* uncorrected formation energy: 1.05 eV/atom

=====

(12)
Below is an optimized crystal structure of Sm2AgIrC, with properties calculated at the PBE level.

a = 5.185 Å, b = 5.185 Å, c = 3.879 Å
α = 90.00°, β = 90.00°, γ = 90.00°
Fractional positions:
Sm1 0.000 0.500 0.000
Sm2 0.500 0.000 0.000
Ag1 0.000 0.000 0.500
Ir1 0.500 0.500 0.500
C1 0.500 0.500 0.000

Output
* final energy: -6.533 eV/atom
* crystal system: tetragonal
* symmetry: No. 123
* D(E_F): 0.460 states/eV/atom

=====

(13)
Below is an optimized crystal structure of Sr2AgIrC, with properties calculated at the PBE level.

a = 5.545 Å, b = 5.545 Å, c = 3.882 Å
α = 90.00°, β = 90.00°, γ = 90.00°
Fractional positions:
Sr1 0.000 0.500 0.000
Sr2 0.500 0.000 0.000
Ag1 0.000 0.000 0.500
Ir1 0.500 0.500 0.500
C1 0.500 0.500 0.000

Output
* final energy: -5.078 eV/atom
* crystal system: tetragonal
* symmetry: No. 123
* D(E_F): 0.222 states/eV/atom

=====

(14)
Below is an optimized crystal structure of Tb2AgIrC, with properties calculated at the PBE level.

a = 5.059 Å, b = 5.059 Å, c = 3.880 Å
α = 90.00°, β = 90.00°, γ = 90.00°
Fractional positions:
Tb1 0.000 0.500 0.000
Tb2 0.500 0.000 0.000
Ag1 0.000 0.000 0.500
Ir1 0.500 0.500 0.500
C1 0.500 0.500 0.000

Output
* final energy: -6.548 eV/atom
* crystal system: tetragonal
* symmetry: No. 123
* D(E_F): 0.488 states/eV/atom

=====

(15)
Below is an optimized crystal structure of TlAg2IrC, with properties calculated at the PBE level.

a = 5.284 Å, b = 5.284 Å, c = 3.991 Å
α = 90.00°, β = 90.00°, γ = 90.00°
Fractional positions:
Tl1 0.000 0.000 0.000
Ag1 0.000 0.500 0.000
Ag2 0.500 0.000 0.000
Ir1 0.500 0.500 0.500
C1 0.000 0.000 0.500

Output
* final energy: -2.961 eV/atom
* crystal system: tetragonal
* symmetry: No. 123
* D(E_F): 0.806 states/eV/atom

=====

(16)
Below is an optimized crystal structure of Y2AgIrC, with properties calculated at the PBE level.

a = 5.034 Å, b = 5.034 Å, c = 3.886 Å
α = 90.00°, β = 90.00°, γ = 90.00°
Fractional positions:
Y1 0.000 0.500 0.000
Y2 0.500 0.000 0.000
Ag1 0.000 0.000 0.500
Ir1 0.500 0.500 0.500
C1 0.500 0.500 0.000

Output
* final energy: -7.298 eV/atom
* crystal system: tetragonal
* symmetry: No. 123
* D(E_F): 0.465 states/eV/atom

=====

(17)
Below is an optimized crystal structure of KAgC3, with properties calculated at the PBE level.

a = 4.417 Å, b = 4.417 Å, c = 4.417 Å
α = 90.00°, β = 90.00°, γ = 90.00°
Fractional positions:
K1 0.000 0.000 0.000
Ag1 0.500 0.500 0.500
C1 0.000 0.500 0.500
C2 0.500 0.000 0.500
C3 0.500 0.500 0.000

Output
* final energy: -3.362 eV/atom
* crystal system: cubic
* symmetry: No. 221
* D(E_F): 0.548 states/eV/atom

=====

(18)
Below is an optimized crystal structure of K2AgC, with properties calculated at the PBE level.

a = 8.654 Å, b = 8.654 Å, c = 8.654 Å
α = 93.12°, β = 93.12°, γ = 153.00°
Fractional positions:
K1 0.375 0.153 0.278
K2 0.847 0.125 0.222
K3 0.875 0.097 0.722
K4 0.903 0.625 0.778
Ag1 0.250 0.750 0.500
Ag2 0.500 0.500 0.000
C1 0.000 0.000 0.000
C2 0.750 0.250 0.500

Output
* final energy: -2.826 eV/atom
* crystal system: tetragonal
* symmetry: No. 122
* D(E_F): 0.473 states/eV/atom

=====

(19)
Below is an optimized crystal structure of KAg3C, with properties calculated at the PBE level.

a = 4.561 Å, b = 4.561 Å, c = 4.561 Å
α = 90.00°, β = 90.00°, γ = 90.00°
Fractional positions:
K1 0.000 0.000 0.000
Ag1 0.000 0.500 0.500
Ag2 0.500 0.000 0.500
Ag3 0.500 0.500 0.000
C1 0.500 0.500 0.500

Output
* final energy: -3.161 eV/atom
* crystal system: cubic
* symmetry: No. 221
* D(E_F): 0.000 states/eV/atom

=====

(20)
Below is an optimized crystal structure of KAg3C, with properties calculated at the PBE level.

a = 5.825 Å, b = 5.825 Å, c = 5.825 Å
α = 90.00°, β = 90.00°, γ = 90.00°
Fractional positions:
K1 0.000 0.000 0.000
Ag1 0.000 0.000 0.500
Ag2 0.000 0.500 0.000
Ag3 0.500 0.000 0.000
C1 0.500 0.500 0.500

Output
* final energy: -1.351 eV/atom
* crystal system: cubic
* symmetry: No. 221
* D(E_F): 0.879 states/eV/atom

=====

(21)
Below is an optimized crystal structure of KAgC3, with properties calculated at the PBE level.

a = 5.219 Å, b = 5.219 Å, c = 5.219 Å
α = 90.00°, β = 90.00°, γ = 90.00°
Fractional positions:
K1 0.000 0.000 0.000
Ag1 0.500 0.500 0.500
C1 0.000 0.000 0.500
C2 0.000 0.500 0.000
C3 0.500 0.000 0.000

Output
* final energy: -2.113 eV/atom
* crystal system: cubic
* symmetry: No. 221
* D(E_F): 0.865 states/eV/atom

=====

(22)
Below is an optimized crystal structure of KAg2C, with properties calculated at the PBE level.

a = 7.266 Å, b = 7.266 Å, c = 7.266 Å
α = 132.69°, β = 132.69°, γ = 69.14°
Fractional positions:
K1 0.375 0.625 0.750
K2 0.625 0.375 0.250
Ag1 0.000 0.000 0.000
Ag2 0.000 0.000 0.500
Ag3 0.000 0.500 0.000
Ag4 0.500 0.000 0.500
C1 0.125 0.875 0.250
C2 0.875 0.125 0.750

Output
* final energy: -3.221 eV/atom
* crystal system: tetragonal
* symmetry: No. 141
* D(E_F): 0.980 states/eV/atom

=====

(23)
Below is an optimized crystal structure of KAgC2, with properties calculated at the PBE level.

a = 4.364 Å, b = 4.364 Å, c = 4.364 Å
α = 60.00°, β = 60.00°, γ = 60.00°
Fractional positions:
K1 0.000 0.000 0.000
Ag1 0.500 0.500 0.500
C1 0.250 0.250 0.250
C2 0.750 0.750 0.750

Output
* final energy: -3.046 eV/atom
* crystal system: cubic
* symmetry: No. 225
* D(E_F): 0.316 states/eV/atom

=====

(24)
Below is an optimized crystal structure of K2Ag2C, with properties calculated at the PBE level.

a = 6.333 Å, b = 6.333 Å, c = 5.229 Å
α = 90.00°, β = 90.00°, γ = 90.00°
Fractional positions:
K1 0.000 0.500 0.000
K2 0.500 0.000 0.000
Ag1 0.000 0.000 0.000
Ag2 0.000 0.000 0.500
C1 0.500 0.500 0.500

Output
* final energy: -2.139 eV/atom
* crystal system: tetragonal
* symmetry: No. 123
* D(E_F): 0.179 states/eV/atom

=====

(25)
Below is an optimized crystal structure of KAgC2, with properties calculated at the PBE level.

a = 4.334 Å, b = 4.334 Å, c = 5.345 Å
α = 90.00°, β = 90.00°, γ = 90.00°
Fractional positions:
K1 0.000 0.000 0.000
Ag1 0.500 0.500 0.500
C1 0.500 0.500 0.117
C2 0.500 0.500 0.883

Output
* final energy: -5.241 eV/atom
* crystal system: tetragonal
* symmetry: No. 123
* D(E_F): 0.000 states/eV/atom

=====

(26)
Below is an optimized crystal structure of K3AgC, with properties calculated at the PBE level.

a = 5.751 Å, b = 5.751 Å, c = 5.751 Å
α = 90.00°, β = 90.00°, γ = 90.00°
Fractional positions:
K1 0.000 0.000 0.500
K2 0.000 0.500 0.000
K3 0.500 0.000 0.000
Ag1 0.500 0.500 0.500
C1 0.000 0.000 0.000

Output
* final energy: -2.202 eV/atom
* crystal system: cubic
* symmetry: No. 221
* D(E_F): 0.563 states/eV/atom

=====

(27)
Below is an optimized crystal structure of KAgC2, with properties calculated at the PBE level.

a = 8.181 Å, b = 8.181 Å, c = 8.181 Å
α = 149.96°, β = 149.96°, γ = 43.00°
Fractional positions:
K1 0.375 0.625 0.750
K2 0.625 0.375 0.250
Ag1 0.125 0.875 0.250
Ag2 0.875 0.125 0.750
C1 0.000 0.000 0.000
C2 0.000 0.000 0.500
C3 0.000 0.500 0.000
C4 0.500 0.000 0.500

Output
* final energy: -3.661 eV/atom
* crystal system: tetragonal
* symmetry: No. 141
* D(E_F): 0.478 states/eV/atom

=====

(28)
Below is an optimized crystal structure of KMnAg3C6N6, with properties calculated at the PBE level.

a = 7.118 Å, b = 7.118 Å, c = 7.371 Å
α = 90.00°, β = 90.00°, γ = 120.00°
Fractional positions:
K1 0.000 0.000 0.000
Mn1 0.333 0.667 0.000
Ag1 0.356 0.178 0.500
Ag2 0.822 0.178 0.500
Ag3 0.822 0.644 0.500
C1 0.344 0.001 0.276
C2 0.344 0.343 0.724
C3 0.657 0.001 0.724
C4 0.657 0.656 0.276
C5 0.999 0.343 0.276
C6 0.999 0.656 0.724
N1 0.115 0.451 0.159
N2 0.115 0.663 0.841
N3 0.337 0.451 0.841
N4 0.337 0.885 0.159
N5 0.549 0.663 0.159
N6 0.549 0.885 0.841

Output
* final energy: -7.081 eV/atom
* crystal system: trigonal
* symmetry: No. 149
* D(E_F): 0.536 states/eV/atom
* uncorrected formation energy: 0.22 eV/atom